[1]
The following is a DFT calculation (PBE) of a relaxed structure of Na2PmTiS4.

Cell and atoms, written as extended XYZ:
```
8
Lattice="6.6917 0.0000 0.0000 0.0000 3.8489 0.0000 -2.2244 0.0000 6.6999" Properties=species:S:1:pos:R:3 pbc="T T T"
Na 0.0000 0.0000 0.0000
Na 3.3459 1.9245 0.0000
Pm -1.1122 1.9245 3.3499
Ti 2.2336 0.0000 3.3499
S 0.1817 0.0000 4.8732
S 1.2702 1.9245 1.9145
S 3.1971 1.9245 4.7854
S 4.2856 0.0000 1.8267
```

---

[2]
The following is a DFT calculation (PBE) of a relaxed structure of Na3Pm2TiS6.

Cell and atoms, written as extended XYZ:
```
12
Lattice="3.4193 -5.9084 0.0000 3.4193 5.9084 0.0000 -2.2779 0.0000 6.6931" Properties=species:S:1:pos:R:3 pbc="T T T"
Na 0.0000 0.0000 0.0000
Na 3.4193 1.9798 0.0000
Na 3.4193 -1.9798 0.0000
Pm 2.2803 3.9242 3.3465
Pm 2.2803 -3.9242 3.3465
Ti 2.2803 0.0000 3.3465
S 1.2203 1.8153 1.8319
S 0.2073 0.0000 4.8139
S 1.2203 -1.8153 1.8319
S 3.3403 1.8153 4.8612
S 4.3533 0.0000 1.8791
S 3.3403 -1.8153 4.8612
```

---

[3]
The following is a DFT calculation (PBE) of a relaxed structure of Na2PmTmS4.

Cell and atoms, written as extended XYZ:
```
8
Lattice="6.9589 0.0000 0.0000 0.0000 4.0162 0.0000 -2.3168 0.0000 6.6885" Properties=species:S:1:pos:R:3 pbc="T T T"
Na 0.0000 0.0000 0.0000
Na 3.4795 2.0081 0.0000
Pm -1.1584 2.0081 3.3443
Tm 2.3211 0.0000 3.3443
S 0.0647 0.0000 4.8813
S 1.2208 2.0081 1.8351
S 3.4213 2.0081 4.8535
S 4.5774 0.0000 1.8072
```

---

[4]
The following is a DFT calculation (PBE) of a relaxed structure of Na3PmTm2S6.

Cell and atoms, written as extended XYZ:
```
12
Lattice="3.4525 -5.9811 0.0000 3.4525 5.9811 0.0000 -2.3048 0.0000 6.6874" Properties=species:S:1:pos:R:3 pbc="T T T"
Na 0.0000 0.0000 0.0000
Na 3.4525 1.9872 0.0000
Na 3.4525 -1.9872 0.0000
Pm 2.3001 0.0000 3.3437
Tm 2.3001 3.9854 3.3437
Tm 2.3001 -3.9854 3.3437
S 1.1149 2.0527 1.8320
S -0.0709 0.0000 4.8616
S 1.1149 -2.0527 1.8320
S 3.4853 2.0527 4.8554
S 4.6711 0.0000 1.8258
S 3.4853 -2.0527 4.8554
```

---

[5]
The following is a DFT calculation (PBE) of a relaxed structure of Na2Pm3TmS6.

Cell and atoms, written as extended XYZ:
```
12
Lattice="3.4725 -6.0064 0.0000 3.4725 6.0064 0.0000 -2.3024 0.0000 6.5398" Properties=species:S:1:pos:R:3 pbc="T T T"
Na 3.4725 4.0178 0.0000
Na 3.4725 -4.0178 0.0000
Pm -1.1512 0.0000 3.2699
Pm 2.3213 2.0523 3.2699
Pm 2.3213 -2.0523 3.2699
Tm 3.4725 0.0000 0.0000
S 0.0460 1.9381 4.9470
S 1.2416 0.0000 1.6303
S 0.0460 -1.9381 4.9470
S 4.5967 1.9381 1.5928
S 3.4011 0.0000 4.9095
S 4.5967 -1.9381 1.5928
```

---

[6]
The following is a DFT calculation (PBE) of a relaxed structure of Na3Pm2TmS6.

Cell and atoms, written as extended XYZ:
```
12
Lattice="3.5027 -6.0666 0.0000 3.5027 6.0666 0.0000 -2.3376 0.0000 6.6886" Properties=species:S:1:pos:R:3 pbc="T T T"
Na 0.0000 0.0000 0.0000
Na 3.5027 2.0219 0.0000
Na 3.5027 -2.0219 0.0000
Pm 2.3339 4.0453 3.3443
Pm 2.3339 -4.0453 3.3443
Tm 2.3339 0.0000 3.3443
S 1.2011 1.9634 1.8095
S 0.0683 0.0000 4.8701
S 1.2011 -1.9634 1.8095
S 3.4668 1.9634 4.8791
S 4.5995 0.0000 1.8185
S 3.4668 -1.9634 4.8791
```

---

[7]
The following is a DFT calculation (PBE) of a relaxed structure of NaPm4TmS8.

Cell and atoms, written as extended XYZ:
```
14
Lattice="4.1505 2.3963 6.6557 -4.1505 2.3963 6.6557 0.0000 -4.7926 6.6557" Properties=species:S:1:pos:R:3 pbc="T T T"
Na 0.0000 0.0000 0.0000
Pm 0.0000 -2.4749 10.8753
Pm -2.1433 1.2374 10.8753
Pm 0.0000 0.0000 15.0336
Pm 2.1433 1.2374 10.8753
Tm 0.0000 0.0000 7.4250
S 0.0000 0.0000 2.7261
S 0.0000 -2.1550 5.8473
S -1.8663 1.0775 5.8473
S -1.9003 -1.0971 9.1787
S 1.8663 1.0775 5.8473
S 1.9003 -1.0971 9.1787
S 0.0000 2.1943 9.1787
S 0.0000 0.0000 12.3547
```

---

[8]
The following is a DFT calculation (PBE) of a relaxed structure of NaPmTm2S4.

Cell and atoms, written as extended XYZ:
```
8
Lattice="6.8198 0.0000 0.0000 0.0000 3.8968 0.0000 -2.2254 0.0000 6.4992" Properties=species:S:1:pos:R:3 pbc="T T T"
Na 0.0000 0.0000 0.0000
Pm 3.4099 1.9484 0.0000
Tm -1.1127 1.9484 3.2496
Tm 2.2972 0.0000 3.2496
S 0.0128 0.0000 4.7812
S 1.1462 1.9484 1.7299
S 3.4482 1.9484 4.7693
S 4.5816 0.0000 1.7180
```

---

It is found that the magnetic moment values, taken in the order of the records, are 1.01, 1.01, 0.00, 0.00, 0.00, 0.00, 0.00, 0.00 μB/f.u..
It is found that the formation energy (no corrections) values, taken in the order of the records, are -1507, -1601, -1826, -1836, -1869, -1821, -1930, -1911 meV per atom.